Hf6MnAl3: relaxed, GGA-PBE.

The total moment comes out at 0.0 μB per cell. The space-group type is P2_1/c, No. 14. The energy of formation is -0.080 eV per atom.

abc: 5.4325 7.8935 10.7771
angles: 90.00 119.61 90.00
Positions (direct):
Hf1 0.0590 0.1676 0.4564
Hf2 0.0590 0.3324 0.9564
Hf3 0.3621 0.6856 0.4471
Hf4 0.3621 0.8144 0.9471
Hf5 0.4209 0.0673 0.2661
Hf6 0.4209 0.4327 0.7661
Hf7 0.5791 0.5673 0.2339
Hf8 0.5791 0.9327 0.7339
Hf9 0.6379 0.1856 0.0529
Hf10 0.6379 0.3144 0.5529
Hf11 0.9410 0.6676 0.0436
Hf12 0.9410 0.8324 0.5436
Mn1 0.5000 0.0000 0.5000
Mn2 0.5000 0.5000 0.0000
Al1 0.0000 0.0000 0.0000
Al2 0.0000 0.5000 0.5000
Al3 0.1086 0.1016 0.7528
Al4 0.1086 0.3984 0.2528
Al5 0.8914 0.6016 0.7472
Al6 0.8914 0.8984 0.2472